No. 1
BaRePt2 | PBE | relaxed

Summary:
Excess energy over the best structure of this formula in the dataset, kJ per mole of atoms: 31.7

```
data_BaRePt2
_cell_length_a 3.0226
_cell_length_b 3.0226
_cell_length_c 8.7100
_cell_angle_alpha 90.00
_cell_angle_beta 90.00
_cell_angle_gamma 90.00
_symmetry_space_group_name_H-M 'P 4/m m m'
_symmetry_Int_Tables_number 123
_symmetry_space_group_name_Hall '-P 4 2'
loop_
_atom_site_label
_atom_site_fract_x
_atom_site_fract_y
_atom_site_fract_z
_atom_site_occupancy
Ba1 0.0000 0.0000 0.0000 1
Re1 0.0000 0.0000 0.5000 1
Pt1 0.5000 0.5000 0.3063 1
```



No. 2
BaRe2Pt | PBE | relaxed

Summary:
Excess energy over the best structure of this formula in the dataset, kJ per mole of atoms: 7.8

```
data_BaRe2Pt
_cell_length_a 3.1453
_cell_length_b 3.1872
_cell_length_c 8.2308
_cell_angle_alpha 90.00
_cell_angle_beta 90.12
_cell_angle_gamma 90.00
_symmetry_space_group_name_H-M 'P 1 m 1'
_symmetry_Int_Tables_number 6
_symmetry_space_group_name_Hall 'P -2y'
loop_
_atom_site_label
_atom_site_fract_x
_atom_site_fract_y
_atom_site_fract_z
_atom_site_occupancy
Ba1 0.0000 0.0000 0.0000 1
Re1 0.0010 0.0000 0.4836 1
Re2 0.5004 0.5000 0.3293 1
Pt1 0.5008 0.5000 0.6946 1
```



No. 3
BaRePt4 | PBE | relaxed

```
data_BaRePt4
_cell_length_a 7.7659
_cell_length_b 7.7659
_cell_length_c 7.7659
_cell_angle_alpha 90.00
_cell_angle_beta 90.00
_cell_angle_gamma 90.00
_symmetry_space_group_name_H-M 'F -4 3 m'
_symmetry_Int_Tables_number 216
_symmetry_space_group_name_Hall 'F -4 2 3'
loop_
_atom_site_label
_atom_site_fract_x
_atom_site_fract_y
_atom_site_fract_z
_atom_site_occupancy
Ba1 0.0000 0.0000 0.0000 1
Re1 0.2500 0.2500 0.2500 1
Pt1 0.1240 0.1240 0.6240 1
```



No. 4
BaRePt2 | PBE | relaxed

Summary:
Excess energy over the best structure of this formula in the dataset, kJ per mole of atoms: 64.1

```
data_BaRePt2
_cell_length_a 2.9228
_cell_length_b 5.1522
_cell_length_c 10.8447
_cell_angle_alpha 90.00
_cell_angle_beta 90.00
_cell_angle_gamma 90.00
_symmetry_space_group_name_H-M 'I m m 2'
_symmetry_Int_Tables_number 44
_symmetry_space_group_name_Hall 'I 2 -2'
loop_
_atom_site_label
_atom_site_fract_x
_atom_site_fract_y
_atom_site_fract_z
_atom_site_occupancy
Ba1 0.0000 0.0000 0.0000 1
Re1 0.0000 0.5000 0.7797 1
Pt1 0.0000 0.0000 0.4870 1
Pt2 0.0000 0.5000 0.2243 1
```



No. 5
BaRePt3 | PBE | relaxed

Summary:
Excess energy over the best structure of this formula in the dataset, kJ per mole of atoms: 260.5

```
data_BaRePt3
_cell_length_a 5.1463
_cell_length_b 5.1463
_cell_length_c 5.1463
_cell_angle_alpha 90.00
_cell_angle_beta 90.00
_cell_angle_gamma 90.00
_symmetry_space_group_name_H-M 'P m -3 m'
_symmetry_Int_Tables_number 221
_symmetry_space_group_name_Hall '-P 4 2 3'
loop_
_atom_site_label
_atom_site_fract_x
_atom_site_fract_y
_atom_site_fract_z
_atom_site_occupancy
Ba1 0.0000 0.0000 0.0000 1
Re1 0.5000 0.5000 0.5000 1
Pt1 0.0000 0.0000 0.5000 1
```



No. 6
BaRe2Pt2 | PBE | relaxed

Summary:
Excess energy over the best structure of this formula in the dataset, kJ per mole of atoms: 0.0

```
data_BaRe2Pt2
_cell_length_a 8.2109
_cell_length_b 8.2109
_cell_length_c 2.8255
_cell_angle_alpha 90.00
_cell_angle_beta 90.00
_cell_angle_gamma 90.00
_symmetry_space_group_name_H-M 'P 4/m b m'
_symmetry_Int_Tables_number 127
_symmetry_space_group_name_Hall '-P 4 2ab'
loop_
_atom_site_label
_atom_site_fract_x
_atom_site_fract_y
_atom_site_fract_z
_atom_site_occupancy
Ba1 0.0000 0.0000 0.0000 1
Re1 0.1067 0.3933 0.0000 1
Pt1 0.1848 0.6848 0.5000 1
```



No. 7
Ba2RePt | PBE | relaxed

Summary:
Excess energy over the best structure of this formula in the dataset, kJ per mole of atoms: 0.0

```
data_Ba2RePt
_cell_length_a 4.5257
_cell_length_b 5.0967
_cell_length_c 11.2852
_cell_angle_alpha 90.00
_cell_angle_beta 90.00
_cell_angle_gamma 90.00
_symmetry_space_group_name_H-M 'A m m 2'
_symmetry_Int_Tables_number 38
_symmetry_space_group_name_Hall 'A 2 -2'
loop_
_atom_site_label
_atom_site_fract_x
_atom_site_fract_y
_atom_site_fract_z
_atom_site_occupancy
Ba1 0.0000 0.0000 0.0000 1
Ba2 0.5000 0.0000 0.2939 1
Re1 0.5000 0.0000 0.6084 1
Pt1 0.0000 0.0000 0.6921 1
```



No. 8
Ba2RePt | PBE | relaxed

Summary:
Excess energy over the best structure of this formula in the dataset, kJ per mole of atoms: 68.5

```
data_Ba2RePt
_cell_length_a 8.6553
_cell_length_b 8.6553
_cell_length_c 6.3758
_cell_angle_alpha 90.00
_cell_angle_beta 90.00
_cell_angle_gamma 90.00
_symmetry_space_group_name_H-M 'I -4 2 d'
_symmetry_Int_Tables_number 122
_symmetry_space_group_name_Hall 'I -4 2bw'
loop_
_atom_site_label
_atom_site_fract_x
_atom_site_fract_y
_atom_site_fract_z
_atom_site_occupancy
Ba1 0.2287 0.2500 0.1250 1
Re1 0.0000 0.0000 0.5000 1
Pt1 0.0000 0.0000 0.0000 1
```



Number 1: E_form 14 kJ/mol of atoms, total magnetization 0.000 μB/f.u.. Number 2: E_form 36 kJ/mol of atoms, total magnetization 0.000 μB/f.u.. Number 3: E_form 27 kJ/mol of atoms, total magnetization 4.071 μB/f.u.. Number 4: E_form 46 kJ/mol of atoms, total magnetization 0.635 μB/f.u.. Number 5: E_form 274 kJ/mol of atoms, total magnetization 0.004 μB/f.u.. Number 6: E_form 26 kJ/mol of atoms, total magnetization 0.000 μB/f.u.. Number 7: E_form 18 kJ/mol of atoms, total magnetization 0.007 μB/f.u.. Number 8: E_form 86 kJ/mol of atoms, total magnetization 2.835 μB/f.u..